Record 1
# MnC2O6 meta-GGA SCAN PBEsol geometry
# Energy above the lowest structure with this stoichiometry, meV per atom: 0.0
# Raw formation energy, eV per atom: -1.550
data_MnC2O6
_cell_length_a 4.5813
_cell_length_b 4.5813
_cell_length_c 15.9551
_cell_angle_alpha 90.00
_cell_angle_beta 90.00
_cell_angle_gamma 120.00
_symmetry_space_group_name_H-M 'R -3'
_symmetry_Int_Tables_number 148
_symmetry_space_group_name_Hall '-R 3'
loop_
_atom_site_label
_atom_site_fract_x
_atom_site_fract_y
_atom_site_fract_z
Mn1 0.0000 0.0000 0.0000
C1 0.0000 0.0000 0.2670
O1 0.0355 0.6302 0.4012



Record 2
# Sc3CdGa meta-GGA SCAN PBEsol geometry
# Calculated formation energy, kJ/mol of formula units: -2
data_Sc3CdGa
_cell_length_a 5.023
_cell_length_b 5.023
_cell_length_c 5.023
_cell_angle_alpha 90.00
_cell_angle_beta 90.00
_cell_angle_gamma 90.00
_symmetry_space_group_name_H-M 'P m -3 m'
_symmetry_Int_Tables_number 221
_symmetry_space_group_name_Hall '-P 4 2 3'
loop_
_atom_site_label
_atom_site_fract_x
_atom_site_fract_y
_atom_site_fract_z
Sc1 0.000 0.000 0.500
Cd1 0.500 0.500 0.500
Ga1 0.000 0.000 0.000



Record 3
# CaMgTa2 meta-GGA SCAN PBEsol geometry
# Calculated formation energy, kJ/mol of formula units: 272
data_CaMgTa2
_cell_length_a 2.768
_cell_length_b 5.073
_cell_length_c 5.827
_cell_angle_alpha 90.00
_cell_angle_beta 90.00
_cell_angle_gamma 90.00
_symmetry_space_group_name_H-M 'P m m m'
_symmetry_Int_Tables_number 47
_symmetry_space_group_name_Hall '-P 2 2'
loop_
_atom_site_label
_atom_site_fract_x
_atom_site_fract_y
_atom_site_fract_z
Ca1 0.000 0.000 0.000
Mg1 0.000 0.000 0.500
Ta1 0.500 0.500 0.251



Record 4
# AsOs2Rh meta-GGA SCAN PBEsol geometry
# Calculated formation energy, kJ/mol of formula units: 122
data_AsOs2Rh
_cell_length_a 2.8091
_cell_length_b 2.8091
_cell_length_c 24.6675
_cell_angle_alpha 90.00
_cell_angle_beta 90.00
_cell_angle_gamma 120.00
_symmetry_space_group_name_H-M 'R -3 m'
_symmetry_Int_Tables_number 166
_symmetry_space_group_name_Hall '-R 3 2"'
loop_
_atom_site_label
_atom_site_fract_x
_atom_site_fract_y
_atom_site_fract_z
As1 0.0000 0.0000 0.0000
Os1 0.0000 0.0000 0.2540
Rh1 0.0000 0.0000 0.5000



Record 5
# TlPb7 meta-GGA SCAN PBEsol geometry
# Calculated formation energy, kJ/mol of formula units: -3
data_TlPb7
_cell_length_a 9.821
_cell_length_b 9.821
_cell_length_c 9.821
_cell_angle_alpha 90.00
_cell_angle_beta 90.00
_cell_angle_gamma 90.00
_symmetry_space_group_name_H-M 'F m -3 m'
_symmetry_Int_Tables_number 225
_symmetry_space_group_name_Hall '-F 4 2 3'
loop_
_atom_site_label
_atom_site_fract_x
_atom_site_fract_y
_atom_site_fract_z
Tl1 0.000 0.000 0.000
Pb1 0.000 0.000 0.500
Pb2 0.000 0.250 0.250



Record 6
# CaTa2Al meta-GGA SCAN PBEsol geometry
# Calculated formation energy, kJ/mol of formula units: 156
data_CaTa2Al
_cell_length_a 2.938
_cell_length_b 4.036
_cell_length_c 6.868
_cell_angle_alpha 90.00
_cell_angle_beta 90.00
_cell_angle_gamma 90.00
_symmetry_space_group_name_H-M 'P m m m'
_symmetry_Int_Tables_number 47
_symmetry_space_group_name_Hall '-P 2 2'
loop_
_atom_site_label
_atom_site_fract_x
_atom_site_fract_y
_atom_site_fract_z
Ca1 0.000 0.000 0.000
Ta1 0.500 0.500 0.311
Al1 0.000 0.000 0.500